Computed, not measured: NbCo3Sn after structural relaxation at the PBE level of DFT.

```
NbCo3Sn
1.0
-3.9379 0.7257 -2.1139
-2.2216 -1.7392 3.5414
-0.2444 4.1171 1.8686
Co Sn Nb
3 1 1
direct
0.5000 0.0000 0.0000 Co
0.0000 0.0000 0.5000 Co
0.0000 0.5000 0.0000 Co
0.0000 0.0000 0.0000 Sn
0.5000 0.5000 0.5000 Nb
```

Summary:
N(E_F)	4.140	states/eV per cell
SG	Pm-3m, No. 221
raw total energy	-5.6407	eV/atom
magnetic moment	4.26	μB per formula unit

=====

Computed, not measured: Nb3CoSn after structural relaxation at the PBE level of DFT.

```
Nb3CoSn
1.0
-1.0715 -4.6445 -1.4861
4.4654 -1.5459 1.6119
-1.9596 -0.9832 4.4856
Nb Sn Co
3 1 1
direct
0.5000 0.0000 0.0000 Nb
0.0000 0.5000 0.0000 Nb
0.0000 0.0000 0.5000 Nb
0.0000 0.0000 0.0000 Sn
0.5000 0.5000 0.5000 Co
```

Summary:
N(E_F)	8.361	states/eV per cell
SG	Pm-3m, No. 221
raw total energy	-6.1213	eV/atom
polymorph energy (0 for the lowest one)	1.7270	eV per atom
magnetic moment	0.00	μB per formula unit

=====

Computed, not measured: Nb12CoSn6 after structural relaxation at the PBE level of DFT.

```
Nb12CoSn6
1.0
7.0860 0.5256 0.6296
-0.5548 7.0837 0.6296
-0.5548 -0.6463 7.0822
Nb Sn Co
12 6 1
direct
0.0643 0.1397 0.3776 Nb
0.5166 0.4339 0.8085 Nb
0.8085 0.5166 0.4339 Nb
0.8603 0.6224 0.9357 Nb
0.1915 0.4834 0.5661 Nb
0.1397 0.3776 0.0643 Nb
0.4834 0.5661 0.1915 Nb
0.3776 0.0643 0.1397 Nb
0.5661 0.1915 0.4834 Nb
0.6224 0.9357 0.8603 Nb
0.9357 0.8603 0.6224 Nb
0.4339 0.8085 0.5166 Nb
0.8761 0.2545 0.7313 Sn
0.7313 0.8761 0.2545 Sn
0.2687 0.1239 0.7455 Sn
0.2545 0.7313 0.8761 Sn
0.1239 0.7455 0.2687 Sn
0.7455 0.2687 0.1239 Sn
0.0000 0.0000 0.0000 Co
```

Summary:
N(E_F)	16.711	states/eV per cell
SG	R-3, No. 148
raw total energy	-7.9772	eV/atom
magnetic moment	0.00	μB per formula unit

=====

Computed, not measured: Nb2CoSn2 after structural relaxation at the PBE level of DFT.

```
Nb2CoSn2
1.0
-0.6387 5.9178 -2.7002
-6.1790 0.2958 2.1099
1.3753 1.8668 3.7660
Nb Sn Co
4 4 2
direct
0.3481 0.1519 0.5000 Nb
0.1519 0.6519 0.5000 Nb
0.6519 0.8481 0.5000 Nb
0.8481 0.3481 0.5000 Nb
0.1541 0.3459 0.0000 Sn
0.8459 0.6541 0.0000 Sn
0.3459 0.8459 0.0000 Sn
0.6541 0.1541 0.0000 Sn
0.5000 0.5000 0.0000 Co
0.0000 0.0000 0.0000 Co
```

Summary:
N(E_F)	10.614	states/eV per cell
SG	P4/mbm, No. 127
raw total energy	-6.8742	eV/atom
magnetic moment	0.00	μB per formula unit

=====

Computed, not measured: Sr2NbCo after structural relaxation at the PBE level of DFT.

```
Sr2NbCo
1.0
11.4056 0.0000 0.0000
0.0000 11.4056 0.0000
5.7028 5.7028 2.2779
Nb Sr Co
2 4 2
direct
0.0000 0.0000 0.0000 Nb
0.7500 0.2500 0.5000 Nb
0.3750 0.5467 0.7500 Sr
0.8750 0.7033 0.7500 Sr
0.2967 0.6250 0.2500 Sr
0.4533 0.1250 0.2500 Sr
0.2500 0.7500 0.5000 Co
0.5000 0.5000 0.0000 Co
```

Summary:
N(E_F)	13.309	states/eV per cell
SG	I-42d, No. 122
raw total energy	-4.3995	eV/atom
magnetic moment	1.67	μB per formula unit

=====

Computed, not measured: Sr3NbCo after structural relaxation at the PBE level of DFT.

```
Sr3NbCo
1.0
5.6689 0.0000 0.0000
0.0000 5.6689 0.0000
0.0000 0.0000 5.6689
Sr Co Nb
3 1 1
direct
0.5000 0.0000 0.0000 Sr
0.0000 0.0000 0.5000 Sr
0.0000 0.5000 0.0000 Sr
0.0000 0.0000 0.0000 Co
0.5000 0.5000 0.5000 Nb
```

Summary:
N(E_F)	8.760	states/eV per cell
SG	Pm-3m, No. 221
raw total energy	-3.4914	eV/atom
magnetic moment	5.15	μB per formula unit

=====

Number 3 is which compound? Nb12CoSn6